# Ba6Na2InPd

Ba6Na2InPd after structural relaxation (GGA-PBE, Alexandria via LeMat-Bulk).

* size of the total moment: 0.000 μB per formula unit
* SG: Cm
* ΔH_f (0 K): -0.1328 eV per atom

The structure in CIF format:
```
data_Ba6Na2InPd
_chemical_formula_sum 'Ba6 Na2 In1 Pd1'
_cell_length_a 9.310
_cell_length_b 9.310
_cell_length_c 9.329
_cell_angle_alpha 120.03
_cell_angle_beta 120.03
_cell_angle_gamma 90.01
_symmetry_space_group_name_H-M 'P 1'
_symmetry_Int_Tables_number 1
loop_
_symmetry_equiv_pos_as_xyz
'x,y,z'
loop_
_atom_site_label
_atom_site_fract_x
_atom_site_fract_y
_atom_site_fract_z
Ba1 0.758 0.759 0.998
Ba2 0.759 0.759 0.517
Ba3 0.242 0.242 0.001
Ba4 0.759 0.242 0.000
Ba5 0.241 0.241 0.482
Ba6 0.241 0.759 0.000
Na1 0.750 0.251 0.501
Na2 0.251 0.751 0.501
In1 0.500 0.500 0.999
Pd1 0.000 0.000 0.999
```